(1)
K3C | PBE | optimized geometry

```
K3C
1.0
-5.600 -4.058 2.875
2.803 -5.567 4.153
-0.973 7.363 -0.965
K C
3 1
Cartesian
-2.547 -4.235 3.848
-4.931 -1.367 3.600
-0.177 -0.222 2.852
-6.278 3.157 1.825
```

The volume is 47.59 Å³/atom. The total magnetization is 0.43 μB/atom. The value obtained for the total energy is -8.2 eV for the cell shown. Its space-group type is No. 44. As for the energy above the most stable polymorph in this dataset: 0.0325 eV/atom.

(2)
NdPuTiN3 | PBE | optimized geometry

```
NdPuTiN3
1.0
-1.764 3.075 0.225
-5.500 -2.884 -3.694
-2.562 -1.986 7.046
Nd Pu Ti N
2 2 2 6
Cartesian
-8.082 -1.774 2.944
-1.744 -0.021 0.633
-4.330 -1.377 -1.107
-5.496 -0.418 4.684
-2.567 -0.730 3.862
-7.259 -1.065 -0.285
-6.314 -2.630 0.470
-6.583 -0.549 -2.045
-3.895 0.879 -0.483
-3.512 0.835 3.108
-5.930 -2.674 4.060
-3.242 -1.246 5.622
```

The volume is 16.49 Å³/atom. The total magnetization is 0.83 μB/atom. The value obtained for the total energy is -118.2 eV for the cell shown. Its space-group type is No. 11. As for the uncorrected formation energy: -1.185 eV/atom.

(3)
RbZn2GaRh | PBE | optimized geometry

```
RbZn2GaRh
1.0
5.007 0.000 0.000
0.000 5.007 0.000
0.000 0.000 4.811
Zn Rh Ga Rb
2 1 1 1
Cartesian
0.000 2.504 0.000
2.504 0.000 0.000
0.000 0.000 0.000
0.000 0.000 2.405
2.504 2.504 2.405
```

The volume is 24.12 Å³/atom. The total magnetization is 0.00 μB/atom. The value obtained for the total energy is -15.0 eV for the cell shown. Its space-group type is No. 123.

(4)
CsSrAs | PBE | optimized geometry

```
CsSrAs
1.0
-2.525 -2.671 -3.800
0.878 -5.180 -0.619
-7.700 -4.845 8.550
Cs Sr As
2 2 2
Cartesian
-5.972 -8.419 6.223
-3.375 -4.276 -2.092
-3.519 -4.799 2.048
-5.828 -7.897 2.082
-3.438 -7.245 0.036
-5.909 -5.451 4.094
```

The volume is 49.08 Å³/atom. The total magnetization is 0.00 μB/atom. The value obtained for the total energy is -18.8 eV for the cell shown. Its space-group type is No. 2.

(5)
Y2BeInC | PBE | optimized geometry

```
Y2BeInC
1.0
-0.925 -3.179 3.988
-3.187 -2.804 -2.974
2.750 -2.060 -1.005
Y Be C In
2 1 1 1
Cartesian
-1.594 -1.402 -1.487
-0.462 -1.589 1.994
1.375 -1.030 -0.502
0.000 0.000 0.000
-0.681 -4.021 0.005
```

The volume is 19.23 Å³/atom. The total magnetization is 0.00 μB/atom. The value obtained for the total energy is -30.0 eV for the cell shown. Its space-group type is No. 123.

(6)
PaFe3 | PBE | optimized geometry

```
PaFe3
1.0
3.857 0.000 0.000
0.000 3.846 0.000
0.000 0.000 3.847
Pa Fe
1 3
Cartesian
3.857 0.000 3.847
3.857 1.923 1.923
1.928 3.846 1.923
1.928 1.923 0.000
```

The volume is 14.27 Å³/atom. The total magnetization is 1.12 μB/atom. The value obtained for the total energy is -35.0 eV for the cell shown. Its space-group type is No. 123.

(7)
TaPbSe | PBE | optimized geometry

```
TaPbSe
1.0
-2.868 -4.777 -5.158
1.292 -3.594 -6.562
1.672 2.427 6.997
Pb Se Ta
1 1 1
Cartesian
-0.041 -0.219 -0.307
-0.447 -2.374 -3.324
-1.087 -5.778 -8.089
```

The volume is 24.97 Å³/atom. The total magnetization is 0.00 μB/atom. The value obtained for the total energy is -19.5 eV for the cell shown. Its space-group type is No. 107. As for the uncorrected formation energy: -0.154 eV/atom. As for the energy above the most stable polymorph in this dataset: 0.0520 eV/atom.

(8)
La2CrPt | PBE | optimized geometry

```
La2CrPt
1.0
3.722 0.000 0.000
0.000 3.722 0.000
0.000 0.000 7.454
Cr La Pt
1 2 1
Cartesian
1.861 1.861 5.273
0.000 0.000 7.049
1.861 1.861 2.368
0.000 0.000 3.946
```

The volume is 25.82 Å³/atom. The total magnetization is 0.86 μB/atom. The value obtained for the total energy is -26.0 eV for the cell shown. Its space-group type is No. 99. As for the energy above the most stable polymorph in this dataset: 0.2140 eV/atom.

(9)
Be2IrAu | PBE | optimized geometry

```
Be2IrAu
1.0
2.976 0.000 0.000
0.000 4.723 0.038
0.000 3.342 3.625
Be Ir Au
2 1 1
Cartesian
0.000 0.000 0.000
1.488 2.362 0.019
1.488 4.033 1.832
0.000 1.671 1.813
```

The volume is 12.64 Å³/atom. The total magnetization is 0.00 μB/atom. The value obtained for the total energy is -19.9 eV for the cell shown. Its space-group type is No. 10.

(10)
Sr2MgAsO6 | PBE | optimized geometry

```
Sr2MgAsO6
1.0
-3.667 4.160 0.344
-3.317 1.143 -4.309
-8.881 -4.291 2.116
Sr Mg As O
4 2 2 12
Cartesian
-9.327 3.136 -2.735
-6.537 -2.124 0.886
-12.641 0.072 -0.997
-3.223 0.940 -0.852
0.000 0.000 0.000
-7.932 0.506 -0.925
-6.155 2.150 -1.857
-9.709 -1.137 0.008
-7.581 2.514 -0.662
-7.419 1.115 -2.820
-5.881 0.585 -0.821
-8.283 -1.502 -1.187
-8.445 -0.102 0.971
-9.983 0.428 -1.028
-11.027 -0.619 1.160
-10.860 -2.063 -1.066
-9.273 -2.609 0.995
-4.837 1.631 -3.009
-5.004 3.075 -0.783
-6.591 3.622 -2.844
```

The volume is 12.78 Å³/atom. The total magnetization is 0.09 μB/atom. The value obtained for the total energy is -121.8 eV for the cell shown. Its space-group type is No. 166. As for the uncorrected formation energy: -2.153 eV/atom.

(11)
Pr3Y2Ho6Er | PBE | optimized geometry

```
Pr3Y2Ho6Er
1.0
-4.264 -1.418 -4.282
4.593 -3.986 1.241
-6.681 -3.220 9.216
Pr Y Ho Er
3 2 6 1
Cartesian
-0.223 -5.168 4.929
-6.128 -3.456 1.247
-3.176 -4.312 3.088
1.640 -3.130 -0.600
-1.311 -2.274 -2.440
-6.263 -6.066 3.746
-1.397 -4.843 -0.012
-0.089 -2.559 2.429
-3.318 -6.919 5.582
-4.955 -3.782 6.187
-3.033 -1.705 0.594
0.000 0.000 0.000
```

The volume is 32.40 Å³/atom. The total magnetization is 0.00 μB/atom. The value obtained for the total energy is -59.0 eV for the cell shown. Its space-group type is No. 12.

(12)
DyBiH6Ir2 | PBE | optimized geometry

```
DyBiH6Ir2
1.0
-2.093 0.544 7.078
5.612 -4.711 -1.042
2.962 3.383 0.622
Dy Bi H Ir
2 2 12 4
Cartesian
5.230 -3.099 0.297
1.251 2.315 6.361
1.769 -0.739 3.943
4.711 -0.044 2.715
2.326 -1.901 0.006
5.482 -2.489 3.382
4.155 1.118 6.651
0.999 1.705 3.276
0.450 -0.529 0.767
4.552 -1.947 5.578
6.031 -0.254 5.891
1.929 1.163 1.080
3.689 -0.354 0.307
4.112 -4.031 3.088
2.792 -0.429 6.350
2.369 3.247 3.569
2.444 1.963 2.569
4.274 -0.207 5.710
4.037 -2.746 4.088
2.207 -0.577 0.948
```

The volume is 11.41 Å³/atom. The total magnetization is 0.00 μB/atom. The value obtained for the total energy is -96.7 eV for the cell shown. Its space-group type is No. 15.

(13)
SnS2F5 | PBE | optimized geometry

```
SnS2F5
1.0
-2.541 -0.866 -3.137
2.533 -4.992 -2.611
-5.322 -3.478 2.609
Sn S F
1 2 5
Cartesian
-4.926 -9.198 -2.640
-3.656 -5.630 -3.248
-3.400 -4.288 -2.018
-1.064 -6.049 -3.986
-2.873 -6.402 0.368
-1.647 -2.658 -2.507
-5.998 -3.880 -1.293
-0.866 -0.296 -1.070
```

The volume is 20.11 Å³/atom. The total magnetization is 0.02 μB/atom. The value obtained for the total energy is -34.8 eV for the cell shown. Its space-group type is No. 1. As for the uncorrected formation energy: -1.650 eV/atom.

(14)
Ni3PdN | PBE | optimized geometry

```
Ni3PdN
1.0
-3.974 -3.053 4.807
0.522 -3.799 5.789
-1.431 0.314 6.788
Ni Pd N
6 2 2
Cartesian
-2.840 -1.531 8.043
-0.660 -3.132 8.053
-1.881 -2.495 10.331
-4.223 -3.406 9.330
-2.043 -5.007 9.341
-3.002 -4.043 7.052
-1.639 -2.194 5.834
-3.244 -4.344 11.549
-0.798 -1.068 2.839
-4.086 -5.471 14.544
```

The volume is 12.04 Å³/atom. The total magnetization is 0.00 μB/atom. The value obtained for the total energy is -59.4 eV for the cell shown. Its space-group type is No. 148. As for the uncorrected formation energy: 0.237 eV/atom.

(15)
CdSi2Se | PBE | optimized geometry

```
CdSi2Se
1.0
5.931 0.000 0.000
0.000 5.931 0.000
2.965 2.965 5.832
Si Se Cd
4 2 2
Cartesian
4.402 1.483 1.458
1.528 4.448 1.458
4.448 4.493 4.374
7.413 7.368 4.374
2.965 2.965 0.000
2.965 5.931 2.916
0.000 0.000 0.000
5.931 2.965 2.916
```

The volume is 25.64 Å³/atom. The total magnetization is 0.00 μB/atom. The value obtained for the total energy is -27.5 eV for the cell shown. Its space-group type is No. 122. As for the uncorrected formation energy: 0.379 eV/atom. As for the energy above the most stable polymorph in this dataset: 0.3472 eV/atom.

(16)
AcTmTh | PBE | optimized geometry

```
AcTmTh
1.0
3.684 0.000 0.000
-1.842 3.190 0.000
0.000 0.000 8.994
Ac Tm Th
1 1 1
Cartesian
0.000 0.000 8.963
1.842 1.063 3.125
0.000 2.127 5.900
```

The volume is 35.23 Å³/atom. The total magnetization is 0.00 μB/atom. The value obtained for the total energy is -15.7 eV for the cell shown. Its space-group type is No. 156. As for the energy above the most stable polymorph in this dataset: 0.0074 eV/atom.

(17)
PbW | PBE | optimized geometry

```
PbW
1.0
-0.701 0.383 3.068
0.095 -2.911 -1.253
9.023 -0.626 2.141
Pb W
2 2
Cartesian
0.000 0.000 0.000
4.511 -0.313 1.070
2.085 -1.969 0.723
6.331 -1.184 3.234
```

The volume is 20.23 Å³/atom. The total magnetization is 0.00 μB/atom. The value obtained for the total energy is -28.3 eV for the cell shown. Its space-group type is No. 194. As for the energy above the most stable polymorph in this dataset: 0.7649 eV/atom.

(18)
Sr2AlSbSe5 | PBE | optimized geometry

```
Sr2AlSbSe5
1.0
4.131 0.000 0.000
-2.065 9.242 0.000
0.000 0.000 13.096
Sr Al Sb Se
4 2 2 10
Cartesian
2.065 6.935 10.864
0.000 2.098 8.951
0.000 2.307 4.316
2.065 7.144 2.403
2.065 1.021 12.104
0.000 8.221 5.556
2.065 5.442 6.992
0.000 3.800 0.444
0.000 6.467 0.112
2.065 3.355 11.425
0.000 9.142 10.021
0.000 5.282 8.943
2.065 8.676 6.859
2.065 2.774 6.660
0.000 5.886 4.877
2.065 0.100 3.473
2.065 3.960 2.395
0.000 0.566 0.311
```

The volume is 27.77 Å³/atom. The total magnetization is 0.00 μB/atom. The value obtained for the total energy is -79.7 eV for the cell shown. Its space-group type is No. 36. As for the uncorrected formation energy: -1.244 eV/atom.

(19)
NpMoOs | PBE | optimized geometry

```
NpMoOs
1.0
3.652 0.000 0.000
0.000 3.652 0.000
-1.826 -1.826 4.015
Np Mo Os
1 1 1
Cartesian
1.826 1.826 3.678
0.000 0.000 2.101
1.826 1.826 1.046
```

The volume is 17.85 Å³/atom. The total magnetization is 0.49 μB/atom. The value obtained for the total energy is -33.7 eV for the cell shown. Its space-group type is No. 107.

(20)
Ce2PaPt3 | PBE | optimized geometry

```
Ce2PaPt3
1.0
-0.062 3.617 1.741
-1.312 2.444 -5.122
-5.506 -3.737 2.939
Ce Pa Pt
2 1 3
Cartesian
-2.091 1.573 1.286
-4.788 0.750 -1.727
-0.656 1.222 -2.561
-4.230 -0.483 0.853
0.000 0.000 0.000
-2.649 2.806 -1.294
```

The volume is 24.77 Å³/atom. The total magnetization is 0.32 μB/atom. The value obtained for the total energy is -45.3 eV for the cell shown. Its space-group type is No. 71.

| no. | calculated density (g cm⁻³) |
| --- | --- |
| 1 | 1.13 |
| 2 | 8.02 |
| 3 | 5.35 |
| 4 | 3.33 |
| 5 | 5.42 |
| 6 | 11.60 |
| 7 | 10.36 |
| 8 | 8.44 |
| 9 | 13.37 |
| 10 | 4.81 |
| 11 | 7.51 |
| 12 | 11.08 |
| 13 | 2.87 |
| 14 | 8.18 |
| 15 | 4.01 |
| 16 | 9.87 |
| 17 | 16.05 |
| 18 | 4.77 |
| 19 | 16.22 |
| 20 | 12.25 |